! Ta2BeW, optimized geometry, DFT PBE-GGA; values from VASP
! Crystal system   tetragonal
! E_form   0.151 eV/atom
! Final energy   -39.8 eV for the cell shown
&SYSTEM
  ibrav = 0, nat = 4, ntyp = 3
/
ATOMIC_SPECIES
Ta 180.95 Ta.upf
Be 9.01 Be.upf
W 183.84 W.upf
CELL_PARAMETERS angstrom
2.731 0.000 0.000
0.000 2.731 0.000
0.000 0.000 8.326
ATOMIC_POSITIONS angstrom
Ta 0.000 0.000 0.000
Ta 1.365 1.365 2.459
Be 1.365 1.365 6.538
W 0.000 0.000 4.848


! MnZn4Rh3, optimized geometry, DFT PBE-GGA; values from VASP
! Crystal system   tetragonal
! E_form   -0.297 eV/atom
! Final energy   -38.7 eV for the cell shown
&SYSTEM
  ibrav = 0, nat = 8, ntyp = 3
/
ATOMIC_SPECIES
Mn 54.94 Mn.upf
Zn 65.41 Zn.upf
Rh 102.91 Rh.upf
CELL_PARAMETERS angstrom
3.078 0.000 0.000
0.000 3.078 0.000
0.000 0.000 11.696
ATOMIC_POSITIONS angstrom
Mn 0.000 0.000 0.000
Zn 1.539 1.539 1.474
Zn 1.539 1.539 4.370
Zn 1.539 1.539 7.326
Zn 1.539 1.539 10.223
Rh 0.000 0.000 2.837
Rh 0.000 0.000 5.848
Rh 0.000 0.000 8.860


! Pm8Si3Se4O, optimized geometry, DFT PBE-GGA; values from VASP
! Crystal system   monoclinic
! Uncorrected formation energy   -1.518 eV/atom
! Final energy   -97.5 eV for the cell shown
&SYSTEM
  ibrav = 0, nat = 16, ntyp = 4
/
ATOMIC_SPECIES
Pm 145.00 Pm.upf
Si 28.09 Si.upf
Se 78.96 Se.upf
O 16.00 O.upf
CELL_PARAMETERS angstrom
7.155 -4.129 0.000
7.155 4.129 0.000
-4.769 0.000 6.888
ATOMIC_POSITIONS angstrom
Pm 3.618 2.133 5.009
Pm -0.064 0.000 5.020
Pm 5.923 2.133 1.879
Pm 2.385 0.000 1.778
Pm 7.156 0.000 5.110
Pm 3.618 -2.133 5.009
Pm 9.605 0.000 1.868
Pm 5.923 -2.133 1.879
Si 1.193 2.065 3.444
Si 1.193 -2.065 3.444
Si 4.770 0.000 3.444
Se 0.000 0.000 0.000
Se 3.577 2.065 0.000
Se 3.577 -2.065 0.000
Se 7.155 0.000 0.000
O -2.384 0.000 3.444


! Tl2Hg2Te5, optimized geometry, DFT PBE-GGA; values from VASP
! Crystal system   monoclinic
! Uncorrected formation energy   -0.064 eV/atom
! Final energy   -21.6 eV for the cell shown
&SYSTEM
  ibrav = 0, nat = 9, ntyp = 3
/
ATOMIC_SPECIES
Tl 204.38 Tl.upf
Hg 200.59 Hg.upf
Te 127.60 Te.upf
CELL_PARAMETERS angstrom
7.769 -2.311 0.000
7.769 2.311 0.000
-6.068 0.000 9.258
ATOMIC_POSITIONS angstrom
Tl 0.034 0.000 3.180
Tl 9.436 0.000 6.078
Hg 4.050 0.000 1.598
Hg 5.421 0.000 7.661
Te -4.050 0.000 8.608
Te 3.309 0.000 4.369
Te 7.769 0.000 0.000
Te 6.161 0.000 4.890
Te 13.520 0.000 0.651


! CdPHCl2, optimized geometry, DFT PBE-GGA; values from VASP
! Distance to the lowest polymorph of the same formula   2.61 eV/f.u.
! Crystal system   tetragonal
! Final energy   -10.3 eV for the cell shown
&SYSTEM
  ibrav = 0, nat = 5, ntyp = 4
/
ATOMIC_SPECIES
Cd 112.41 Cd.upf
P 30.97 P.upf
H 1.01 H.upf
Cl 35.45 Cl.upf
CELL_PARAMETERS angstrom
5.236 0.000 0.000
0.000 5.236 0.000
0.000 0.000 5.210
ATOMIC_POSITIONS angstrom
Cd 0.000 0.000 0.000
P 0.000 0.000 2.605
H 2.618 2.618 2.605
Cl 0.000 2.618 0.000
Cl 2.618 0.000 0.000


! Na5TlPd2, optimized geometry, DFT PBE-GGA; values from VASP
! Crystal system   orthorhombic
! E_form   -0.086 eV/atom
! Final energy   -40.1 eV for the cell shown
&SYSTEM
  ibrav = 0, nat = 16, ntyp = 3
/
ATOMIC_SPECIES
Na 22.99 Na.upf
Tl 204.38 Tl.upf
Pd 106.42 Pd.upf
CELL_PARAMETERS angstrom
6.177 0.000 0.000
0.000 16.237 0.000
0.000 0.000 4.434
ATOMIC_POSITIONS angstrom
Na 0.000 0.000 0.000
Na 1.381 2.082 2.217
Na 1.382 5.093 0.000
Na 1.708 10.201 2.217
Na 1.707 13.211 0.000
Na 3.089 8.119 0.000
Na 4.471 3.026 0.000
Na 4.470 6.037 2.217
Na 4.796 11.145 0.000
Na 4.796 14.155 2.217
Tl 0.000 8.119 0.000
Tl 3.089 0.000 0.000
Pd 1.264 7.112 2.217
Pd 1.825 15.230 2.217
Pd 4.353 1.007 2.217
Pd 4.913 9.126 2.217


! KCo3Ru, optimized geometry, DFT PBE-GGA; values from VASP
! Distance to the lowest polymorph of the same formula   6.49 eV/f.u.
! Crystal system   cubic
! E_form   2.573 eV/atom
! Final energy   -18.8 eV for the cell shown
&SYSTEM
  ibrav = 0, nat = 5, ntyp = 3
/
ATOMIC_SPECIES
K 39.10 K.upf
Co 58.93 Co.upf
Ru 101.07 Ru.upf
CELL_PARAMETERS angstrom
4.335 0.000 0.000
0.000 4.335 0.000
0.000 0.000 4.335
ATOMIC_POSITIONS angstrom
K 0.000 0.000 0.000
Co 0.000 0.000 2.167
Co 0.000 2.167 0.000
Co 2.167 0.000 0.000
Ru 2.167 2.167 2.167


! Sb3Te6Pb, optimized geometry, DFT PBE-GGA; values from VASP
! Crystal system   monoclinic
! Uncorrected formation energy   -0.122 eV/atom
! Final energy   -72.3 eV for the cell shown
&SYSTEM
  ibrav = 0, nat = 20, ntyp = 3
/
ATOMIC_SPECIES
Sb 121.76 Sb.upf
Te 127.60 Te.upf
Pb 207.20 Pb.upf
CELL_PARAMETERS angstrom
13.218 0.000 0.000
0.000 4.262 0.000
-4.938 0.000 12.434
ATOMIC_POSITIONS angstrom
Sb -0.677 1.065 3.760
Sb 2.459 3.196 5.550
Sb 1.042 1.065 10.624
Sb 7.238 3.196 1.810
Sb 5.821 1.065 6.884
Sb 8.956 3.196 8.674
Te -4.240 1.065 11.011
Te -0.577 3.196 5.901
Te -0.852 3.196 9.754
Te 2.165 1.065 3.299
Te 5.003 1.065 0.915
Te 2.815 1.065 7.676
Te 5.465 3.196 4.758
Te 3.277 3.196 11.519
Te 6.115 3.196 9.135
Te 9.131 1.065 2.680
Te 8.857 1.065 6.533
Te 12.520 3.196 1.423
Pb 2.517 3.196 0.121
Pb 5.762 1.065 12.313


! LaZrIn2, optimized geometry, DFT PBE-GGA; values from VASP
! Crystal system   orthorhombic
! E_form   -0.072 eV/atom
! Final energy   -19.2 eV for the cell shown
&SYSTEM
  ibrav = 0, nat = 4, ntyp = 3
/
ATOMIC_SPECIES
La 138.91 La.upf
Zr 91.22 Zr.upf
In 114.82 In.upf
CELL_PARAMETERS angstrom
3.544 0.000 0.000
0.000 4.452 0.000
0.000 0.000 6.859
ATOMIC_POSITIONS angstrom
La 0.000 0.000 0.000
Zr 1.772 2.226 1.905
In 0.000 0.000 3.281
In 1.772 2.226 5.018


! LaMnZn2, optimized geometry, DFT PBE-GGA; values from VASP
! Crystal system   tetragonal
! E_form   0.142 eV/atom
! Final energy   -16.1 eV for the cell shown
&SYSTEM
  ibrav = 0, nat = 4, ntyp = 3
/
ATOMIC_SPECIES
La 138.91 La.upf
Mn 54.94 Mn.upf
Zn 65.41 Zn.upf
CELL_PARAMETERS angstrom
4.373 0.000 0.000
0.000 4.373 0.000
0.000 0.000 4.499
ATOMIC_POSITIONS angstrom
La 0.000 0.000 0.000
Mn 2.186 2.186 0.000
Zn 0.000 2.186 2.250
Zn 2.186 0.000 2.250


! Ac8Ir3Au4O, optimized geometry, DFT PBE-GGA; values from VASP
! Crystal system   trigonal
! Uncorrected formation energy   -0.963 eV/atom
! Final energy   -92.9 eV for the cell shown
&SYSTEM
  ibrav = 0, nat = 16, ntyp = 4
/
ATOMIC_SPECIES
Ac 227.00 Ac.upf
Ir 192.22 Ir.upf
Au 196.97 Au.upf
O 16.00 O.upf
CELL_PARAMETERS angstrom
4.334 2.502 7.411
-4.334 2.502 7.411
0.000 -5.004 7.411
ATOMIC_POSITIONS angstrom
Ac 0.000 0.000 5.359
Ac -2.125 -1.227 12.723
Ac 0.000 -2.454 9.510
Ac -2.125 1.227 9.510
Ac 2.125 -1.227 12.723
Ac 0.000 2.454 12.723
Ac 2.125 1.227 9.510
Ac 0.000 0.000 16.874
Ir -4.334 0.000 11.117
Ir -2.167 1.251 3.706
Ir 2.167 1.251 3.706
Au 0.000 0.000 0.000
Au -2.167 -1.251 7.411
Au -2.167 1.251 14.822
Au 0.000 2.502 7.411
O 0.000 0.000 11.117


! Sc2As2Au, optimized geometry, DFT PBE-GGA; values from VASP
! Distance to the lowest polymorph of the same formula   0.00 eV/f.u.
! Crystal system   tetragonal
! E_form   -0.862 eV/atom
! Final energy   -59.1 eV for the cell shown
&SYSTEM
  ibrav = 0, nat = 10, ntyp = 3
/
ATOMIC_SPECIES
Sc 44.96 Sc.upf
As 74.92 As.upf
Au 196.97 Au.upf
CELL_PARAMETERS angstrom
7.329 0.000 0.000
0.000 7.329 0.000
0.000 0.000 3.619
ATOMIC_POSITIONS angstrom
Sc 1.136 2.528 0.000
Sc 2.528 6.193 0.000
Sc 4.801 1.136 0.000
Sc 6.193 4.801 0.000
As 1.131 4.795 1.809
As 2.534 1.131 1.809
As 4.795 6.198 1.809
As 6.198 2.534 1.809
Au 0.000 0.000 1.809
Au 3.664 3.664 1.809


! KBaGa2Au2, optimized geometry, DFT PBE-GGA; values from VASP
! Crystal system   trigonal
! E_form   -0.422 eV/atom
! Final energy   -18.2 eV for the cell shown
&SYSTEM
  ibrav = 0, nat = 6, ntyp = 4
/
ATOMIC_SPECIES
K 39.10 K.upf
Ba 137.33 Ba.upf
Ga 69.72 Ga.upf
Au 196.97 Au.upf
CELL_PARAMETERS angstrom
4.526 0.000 0.000
-2.263 3.920 0.000
0.000 0.000 10.004
ATOMIC_POSITIONS angstrom
K 0.000 0.000 0.000
Ba 0.000 0.000 5.002
Ga 0.000 2.613 7.436
Ga 2.263 1.307 2.568
Au 0.000 2.613 2.612
Au 2.263 1.307 7.392


! Rb2TbGaCl6, optimized geometry, DFT PBE-GGA; values from VASP
! Crystal system   triclinic
! Uncorrected formation energy   -1.876 eV/atom
! Final energy   -39.4 eV for the cell shown
&SYSTEM
  ibrav = 0, nat = 10, ntyp = 4
/
ATOMIC_SPECIES
Rb 85.47 Rb.upf
Tb 158.93 Tb.upf
Ga 69.72 Ga.upf
Cl 35.45 Cl.upf
CELL_PARAMETERS angstrom
7.696 0.000 0.000
3.638 6.790 0.000
3.638 2.183 6.430
ATOMIC_POSITIONS angstrom
Rb 0.000 0.000 0.000
Rb 7.172 4.296 3.067
Tb 3.593 2.152 1.537
Ga 11.079 6.639 4.753
Cl 3.595 4.623 2.534
Cl 5.709 5.160 5.941
Cl 5.118 1.337 3.564
Cl 7.238 6.472 0.538
Cl 5.781 2.725 0.127
Cl 9.106 1.582 2.952


! Nb2CdGe2, optimized geometry, DFT PBE-GGA; values from VASP
! Distance to the lowest polymorph of the same formula   0.00 eV/f.u.
! Crystal system   tetragonal
! E_form   -0.096 eV/atom
! Final energy   -61.5 eV for the cell shown
&SYSTEM
  ibrav = 0, nat = 10, ntyp = 3
/
ATOMIC_SPECIES
Nb 92.91 Nb.upf
Cd 112.41 Cd.upf
Ge 72.64 Ge.upf
CELL_PARAMETERS angstrom
7.278 0.000 0.000
0.000 7.278 0.000
0.000 0.000 3.421
ATOMIC_POSITIONS angstrom
Nb 1.041 2.598 0.000
Nb 2.598 6.237 0.000
Nb 4.680 1.041 0.000
Nb 6.237 4.680 0.000
Cd 0.000 0.000 1.711
Cd 3.639 3.639 1.711
Ge 1.056 4.695 1.711
Ge 2.583 1.056 1.711
Ge 4.695 6.223 1.711
Ge 6.223 2.583 1.711


! CsTe4, optimized geometry, DFT PBE-GGA; values from VASP
! Distance to the lowest polymorph of the same formula   0.47 eV/f.u.
! Crystal system   monoclinic
! Uncorrected formation energy   -0.305 eV/atom
! Final energy   -29.9 eV for the cell shown
&SYSTEM
  ibrav = 0, nat = 10, ntyp = 2
/
ATOMIC_SPECIES
Cs 132.91 Cs.upf
Te 127.60 Te.upf
CELL_PARAMETERS angstrom
5.613 0.000 0.000
0.000 8.782 0.000
-4.112 0.000 10.036
ATOMIC_POSITIONS angstrom
Cs 0.000 0.000 0.000
Cs -2.056 4.391 5.018
Te -1.371 1.202 7.270
Te 0.685 3.189 2.253
Te 2.138 5.349 1.098
Te 0.082 7.824 6.115
Te 1.419 0.958 3.920
Te -0.637 3.433 8.938
Te 0.816 5.593 7.783
Te 2.872 7.580 2.765


! Y2ZrRePd, optimized geometry, DFT PBE-GGA; values from VASP
! Crystal system   tetragonal
! E_form   0.416 eV/atom
! Final energy   -37.0 eV for the cell shown
&SYSTEM
  ibrav = 0, nat = 5, ntyp = 4
/
ATOMIC_SPECIES
Y 88.91 Y.upf
Zr 91.22 Zr.upf
Re 186.21 Re.upf
Pd 106.42 Pd.upf
CELL_PARAMETERS angstrom
5.380 0.000 0.000
0.000 5.380 0.000
0.000 0.000 4.977
ATOMIC_POSITIONS angstrom
Y 0.000 2.690 0.000
Y 2.690 0.000 0.000
Zr 0.000 0.000 2.489
Re 0.000 0.000 0.000
Pd 2.690 2.690 2.489


! Tl2CuSi, optimized geometry, DFT PBE-GGA; values from VASP
! Distance to the lowest polymorph of the same formula   1.51 eV/f.u.
! Crystal system   orthorhombic
! Uncorrected formation energy   0.533 eV/atom
! Final energy   -12.1 eV for the cell shown
&SYSTEM
  ibrav = 0, nat = 4, ntyp = 3
/
ATOMIC_SPECIES
Tl 204.38 Tl.upf
Cu 63.55 Cu.upf
Si 28.09 Si.upf
CELL_PARAMETERS angstrom
3.939 0.000 0.000
0.000 4.306 0.000
0.000 0.000 5.198
ATOMIC_POSITIONS angstrom
Tl 0.000 0.000 0.000
Tl 0.000 2.153 2.599
Cu 1.969 0.000 2.599
Si 1.969 2.153 0.000


! PrSc2Zn2Sn2, optimized geometry, DFT PBE-GGA; values from VASP
! Crystal system   trigonal
! E_form   -0.376 eV/atom
! Final energy   -30.6 eV for the cell shown
&SYSTEM
  ibrav = 0, nat = 7, ntyp = 4
/
ATOMIC_SPECIES
Pr 140.91 Pr.upf
Sc 44.96 Sc.upf
Zn 65.41 Zn.upf
Sn 118.71 Sn.upf
CELL_PARAMETERS angstrom
2.349 1.356 8.549
-2.349 1.356 8.549
0.000 -2.712 8.549
ATOMIC_POSITIONS angstrom
Pr 0.000 0.000 0.000
Sc 0.000 0.000 3.484
Sc 0.000 0.000 22.162
Zn 0.000 0.000 11.382
Zn 0.000 0.000 14.264
Sn 0.000 0.000 6.648
Sn 0.000 0.000 18.998


! RbSb2Au, optimized geometry, DFT PBE-GGA; values from VASP
! Distance to the lowest polymorph of the same formula   0.58 eV/f.u.
! Crystal system   trigonal
! Uncorrected formation energy   -0.175 eV/atom
! Final energy   -13.2 eV for the cell shown
&SYSTEM
  ibrav = 0, nat = 4, ntyp = 3
/
ATOMIC_SPECIES
Rb 85.47 Rb.upf
Sb 121.76 Sb.upf
Au 196.97 Au.upf
CELL_PARAMETERS angstrom
2.211 1.276 7.940
-2.211 1.276 7.940
0.000 -2.553 7.940
ATOMIC_POSITIONS angstrom
Rb 0.000 0.000 0.000
Sb 0.000 0.000 5.166
Sb 0.000 0.000 18.655
Au 0.000 0.000 11.910


Which total magnetization belongs to each record? In order, 0.0; 3.7; 0.0; 0.0; 2.8; 0.0; 6.6; 0.0; 0.0; 3.4; 0.0; 0.0; 0.0; 0.0; 0.0; 0.0; 0.0; 0.0; 0.0; 0.0 μB per formula unit.
Which D(E_F) belongs to each record? In order, 2.24; 4.83; 3.35; 2.80; 3.47; 7.82; 6.99; 10.77; 4.72; 3.24; 7.85; 7.29; 3.31; 0.00; 2.44; 4.95; 6.27; 1.90; 7.45; 0.92 states/eV per cell.